[1]
DFT (PBE-GGA) results for a relaxed structure of NiAs3.

ρ (g/cm3): 6.174
Energy relative to the lowest polymorph listed for this composition (meV/atom): 0

Unit cell a=2.843 b=11.347 c=4.727 alpha=90.00 beta=90.00 gamma=90.00
Space group Imm2 (No. 44)
Unique sites:
Ni: 0.000 0.000 0.000 (multiplicity 2)
As: 0.000 0.344 0.712 (multiplicity 4)
As: 0.000 0.500 0.097 (multiplicity 2)


[2]
DFT (PBE-GGA) results for a relaxed structure of Ni2As.

ρ (g/cm3): 8.585

Unit cell a=3.074 b=3.363 c=7.198 alpha=90.00 beta=90.00 gamma=90.00
Space group Immm (No. 71)
Unique sites:
Ni: 0.000 0.000 0.171 (multiplicity 4)
As: 0.000 0.000 0.500 (multiplicity 2)


[3]
DFT (PBE-GGA) results for a relaxed structure of NiAs3.

ρ (g/cm3): 6.816
Energy relative to the lowest polymorph listed for this composition (meV/atom): 21

Unit cell a=6.315 b=3.671 c=6.330 alpha=90.00 beta=109.74 gamma=90.00
Space group C2/m (No. 12)
Unique sites:
Ni: 0.000 0.000 0.000 (multiplicity 2)
As: 0.000 0.500 0.500 (multiplicity 2)
As: 0.237 0.500 0.213 (multiplicity 4)


[4]
DFT (PBE-GGA) results for a relaxed structure of Ni6As7.

ρ (g/cm3): 6.697

Unit cell a=5.5405 b=5.5405 c=24.5289 alpha=90.00 beta=90.00 gamma=120.00
Space group R-3m (No. 166, hexagonal axes)
Unique sites:
Ni: 0.0000 0.0000 0.0795 (multiplicity 6)
Ni: 0.0000 0.0000 0.1796 (multiplicity 6)
Ni: 0.0000 0.0000 0.3355 (multiplicity 6)
As: 0.0000 0.0000 0.5000 (multiplicity 3)
As: 0.0121 0.5060 0.9240 (multiplicity 18)


[5]
DFT (PBE-GGA) results for a relaxed structure of Ni2As.

ρ (g/cm3): 7.333

Unit cell a=5.585 b=5.585 c=5.585 alpha=90.00 beta=90.00 gamma=90.00
Space group Pa-3 (No. 205)
Unique sites:
Ni: 0.138 0.138 0.138 (multiplicity 8)
As: 0.000 0.000 0.500 (multiplicity 4)


[6]
DFT (PBE-GGA) results for a relaxed structure of Ni2As.

ρ (g/cm3): 8.045

Unit cell a=6.988 b=5.648 c=4.022 alpha=90.00 beta=90.00 gamma=90.00
Space group Cmcm (No. 63)
Unique sites:
Ni: 0.182 0.134 0.250 (multiplicity 8)
As: 0.000 0.246 0.750 (multiplicity 4)


For each record above, in turn, the calculated formation energy values are 0.01, -0.13, 0.03, 0.40, 0.11, -0.21 eV/atom.
For each record above, in turn, the calculated magnetic moment values are 0.00, 0.00, 0.00, 0.00, 0.00, 0.00 μB/f.u..
For each record above, in turn, the calculated raw total energy values are -0.3617, -0.4065, -0.3602, -0.3506, -0.3891, -0.4123 Ry/atom.